Below is HfTlV2 after structural relaxation, with properties calculated at the PBE level.

Results
- distance to the lowest polymorph of the same formula (meV/atom) = 0
- formation energy from the elements (eV per formula unit) = 1.64
- calculated volume (Å³ per atom) = 17.57

The structure in extended XYZ format:
```
16
Lattice="6.550 0.000 0.000 0.000 6.550 0.000 0.000 0.000 6.550" Properties=species:S:1:pos:R:3 pbc="T T T"
Hf 0.000 0.000 0.000
Hf 0.000 3.275 3.275
Hf 3.275 0.000 3.275
Hf 3.275 3.275 0.000
Tl 0.000 0.000 3.275
Tl 0.000 3.275 0.000
Tl 3.275 0.000 0.000
Tl 3.275 3.275 3.275
V 1.638 1.638 1.638
V 1.638 1.638 4.913
V 1.638 4.913 1.638
V 1.638 4.913 4.913
V 4.913 1.638 1.638
V 4.913 1.638 4.913
V 4.913 4.913 1.638
V 4.913 4.913 4.913
```